First-principles (PBE-GGA) data for crystalline MnCoBr2 at its relaxed geometry, as listed in Alexandria via LeMat-Bulk.

```
data_MnCoBr2
_cell_length_a 3.444
_cell_length_b 3.444
_cell_length_c 7.597
_cell_angle_alpha 90.00
_cell_angle_beta 90.00
_cell_angle_gamma 90.00
_space_group_name_H-M_alt 'P 4 m m'
_space_group_IT_number 99
loop_
_space_group_symop_operation_xyz
'x,y,z'
'-y,x,z'
'-x,-y,z'
'y,-x,z'
'-x,y,z'
'y,x,z'
'x,-y,z'
'-y,-x,z'
loop_
_atom_site_label
_atom_site_type_symbol
_atom_site_fract_x
_atom_site_fract_y
_atom_site_fract_z
Mn1 Mn 0.000 0.000 0.000
Co1 Co 0.500 0.500 0.870
Br1 Br 0.000 0.000 0.672
Br2 Br 0.500 0.500 0.192
```

Crystal system: tetragonal
Energy relative to the lowest polymorph listed for this composition (meV per atom): 113
M_tot (μB/f.u.): 6.0
Formation energy without anion corrections (kJ/mol of formula units): 11
Density of states at the Fermi level (states/eV/cell): 2.6
Electronic total energy (eV/atom): -4.877


First-principles (PBE-GGA) data for crystalline MnCo2Br at its relaxed geometry, as listed in Alexandria via LeMat-Bulk.

```
data_MnCo2Br
_cell_length_a 3.277
_cell_length_b 3.277
_cell_length_c 5.941
_cell_angle_alpha 90.00
_cell_angle_beta 90.00
_cell_angle_gamma 90.00
_space_group_name_H-M_alt 'P 4/m m m'
_space_group_IT_number 123
_space_group_name_Hall '-P 4 2'
loop_
_atom_site_label
_atom_site_type_symbol
_atom_site_fract_x
_atom_site_fract_y
_atom_site_fract_z
Mn1 Mn 0.000 0.000 0.000
Co1 Co 0.500 0.500 0.187
Br1 Br 0.000 0.000 0.500
```

Crystal system: tetragonal
Energy relative to the lowest polymorph listed for this composition (meV per atom): 130
M_tot (μB/f.u.): 7.6
Formation energy without anion corrections (kJ/mol of formula units): 182
Density of states at the Fermi level (states/eV/cell): 2.8
Electronic total energy (eV/atom): -5.793


First-principles (PBE-GGA) data for crystalline MnCo2Br at its relaxed geometry, as listed in Alexandria via LeMat-Bulk.

```
data_MnCo2Br
_cell_length_a 6.123
_cell_length_b 6.123
_cell_length_c 6.123
_cell_angle_alpha 90.00
_cell_angle_beta 90.00
_cell_angle_gamma 90.00
_space_group_name_H-M_alt 'F -4 3 m'
_space_group_IT_number 216
_space_group_name_Hall 'F -4 2 3'
loop_
_atom_site_label
_atom_site_type_symbol
_atom_site_fract_x
_atom_site_fract_y
_atom_site_fract_z
Mn1 Mn 0.000 0.000 0.000
Co1 Co 0.000 0.000 0.500
Co2 Co 0.250 0.250 0.750
Br1 Br 0.250 0.250 0.250
```

Crystal system: cubic
Energy relative to the lowest polymorph listed for this composition (meV per atom): 452
M_tot (μB/f.u.): 7.1
Formation energy without anion corrections (kJ/mol of formula units): 306
Density of states at the Fermi level (states/eV/cell): 20.4
Electronic total energy (eV/atom): -5.471


First-principles (PBE-GGA) data for crystalline MnCoBr at its relaxed geometry, as listed in Alexandria via LeMat-Bulk.

```
data_MnCoBr
_cell_length_a 3.328
_cell_length_b 5.365
_cell_length_c 11.700
_cell_angle_alpha 90.00
_cell_angle_beta 90.00
_cell_angle_gamma 90.00
_space_group_name_H-M_alt 'F m m 2'
_space_group_IT_number 42
_space_group_name_Hall 'F 2 -2'
loop_
_atom_site_label
_atom_site_type_symbol
_atom_site_fract_x
_atom_site_fract_y
_atom_site_fract_z
Mn1 Mn 0.000 0.000 0.000
Co1 Co 0.000 0.000 0.355
Br1 Br 0.000 0.000 0.673
```

Crystal system: orthorhombic
M_tot (μB/f.u.): 5.4
Formation energy without anion corrections (kJ/mol of formula units): 150
Density of states at the Fermi level (states/eV/cell): 13.0
Electronic total energy (eV/atom): -5.466


First-principles (PBE-GGA) data for crystalline MnCoBr2 at its relaxed geometry, as listed in Alexandria via LeMat-Bulk.

```
data_MnCoBr2
_cell_length_a 3.429
_cell_length_b 3.931
_cell_length_c 6.211
_cell_angle_alpha 90.00
_cell_angle_beta 90.00
_cell_angle_gamma 90.00
_space_group_name_H-M_alt 'P m m m'
_space_group_IT_number 47
loop_
_space_group_symop_operation_xyz
'x,y,z'
'-x,-y,-z'
'-x,-y,z'
'x,y,-z'
'x,-y,-z'
'-x,y,z'
'-x,y,-z'
'x,-y,z'
loop_
_atom_site_label
_atom_site_type_symbol
_atom_site_fract_x
_atom_site_fract_y
_atom_site_fract_z
Mn1 Mn 0.000 0.000 0.000
Co1 Co 0.500 0.000 0.500
Br1 Br 0.000 0.500 0.500
Br2 Br 0.500 0.500 0.000
```

Crystal system: orthorhombic
Energy relative to the lowest polymorph listed for this composition (meV per atom): 501
M_tot (μB/f.u.): 6.1
Formation energy without anion corrections (kJ/mol of formula units): 160
Density of states at the Fermi level (states/eV/cell): 5.2
Electronic total energy (eV/atom): -4.490


First-principles (PBE-GGA) data for crystalline MnCo2Br at its relaxed geometry, as listed in Alexandria via LeMat-Bulk.

```
data_MnCo2Br
_cell_length_a 3.089
_cell_length_b 4.261
_cell_length_c 4.276
_cell_angle_alpha 90.00
_cell_angle_beta 90.00
_cell_angle_gamma 90.00
_space_group_name_H-M_alt 'P m m m'
_space_group_IT_number 47
loop_
_space_group_symop_operation_xyz
'x,y,z'
'-x,-y,-z'
'-x,-y,z'
'x,y,-z'
'x,-y,-z'
'-x,y,z'
'-x,y,-z'
'x,-y,z'
loop_
_atom_site_label
_atom_site_type_symbol
_atom_site_fract_x
_atom_site_fract_y
_atom_site_fract_z
Mn1 Mn 0.000 0.000 0.000
Co1 Co 0.000 0.500 0.500
Co2 Co 0.500 0.000 0.500
Br1 Br 0.500 0.500 0.000
```

Crystal system: orthorhombic
Energy relative to the lowest polymorph listed for this composition (meV per atom): 335
M_tot (μB/f.u.): 7.0
Formation energy without anion corrections (kJ/mol of formula units): 261
Density of states at the Fermi level (states/eV/cell): 5.5
Electronic total energy (eV/atom): -5.587


First-principles (PBE-GGA) data for crystalline MnCo2Br at its relaxed geometry, as listed in Alexandria via LeMat-Bulk.

```
data_MnCo2Br
_cell_length_a 5.548
_cell_length_b 5.548
_cell_length_c 8.836
_cell_angle_alpha 90.00
_cell_angle_beta 90.00
_cell_angle_gamma 90.00
_space_group_name_H-M_alt 'I -4 2 d'
_space_group_IT_number 122
_space_group_name_Hall 'I -4 2bw'
loop_
_atom_site_label
_atom_site_type_symbol
_atom_site_fract_x
_atom_site_fract_y
_atom_site_fract_z
Mn1 Mn 0.000 0.000 0.000
Co1 Co 0.213 0.250 0.125
Br1 Br 0.000 0.000 0.500
```

Crystal system: tetragonal
Energy relative to the lowest polymorph listed for this composition (meV per atom): 614
M_tot (μB/f.u.): 0.0
Formation energy without anion corrections (kJ/mol of formula units): 369
Density of states at the Fermi level (states/eV/cell): 12.6
Electronic total energy (eV/atom): -5.308


First-principles (PBE-GGA) data for crystalline MnCo2Br at its relaxed geometry, as listed in Alexandria via LeMat-Bulk.

```
data_MnCo2Br
_cell_length_a 3.696
_cell_length_b 3.696
_cell_length_c 8.317
_cell_angle_alpha 90.00
_cell_angle_beta 90.00
_cell_angle_gamma 90.00
_space_group_name_H-M_alt 'I -4 m 2'
_space_group_IT_number 119
_space_group_name_Hall 'I -4 -2'
loop_
_atom_site_label
_atom_site_type_symbol
_atom_site_fract_x
_atom_site_fract_y
_atom_site_fract_z
Mn1 Mn 0.000 0.000 0.000
Co1 Co 0.000 0.000 0.500
Co2 Co 0.000 0.500 0.250
Br1 Br 0.000 0.500 0.750
```

Crystal system: tetragonal
Energy relative to the lowest polymorph listed for this composition (meV per atom): 365
M_tot (μB/f.u.): 7.3
Formation energy without anion corrections (kJ/mol of formula units): 273
Density of states at the Fermi level (states/eV/cell): 11.6
Electronic total energy (eV/atom): -5.557


Look up the density of states at the Fermi level of the third one. 20.4 states/eV/cell


Which of these has the lowest formation energy without anion corrections? number 1